# 1
Computed, not measured: a relaxed YEr6Pd2 crystal at the PBE level of DFT.

Structure (POSCAR):
```
YEr6Pd2
1.0
-1.972 -1.218 2.823
4.490 -6.242 2.806
3.897 3.744 6.701
Y Er Pd
1 6 2
direct
0.000 0.500 0.500
0.033 0.125 0.810
0.287 0.316 0.110
0.713 0.684 0.890
0.306 0.834 0.555
0.694 0.166 0.445
0.967 0.875 0.190
0.404 0.422 0.770
0.596 0.578 0.230
```

Properties
Calculated total energy = -47.62 eV per cell
Space group = No. 12
V = 26.967 Å³ per atom

***

# 2
Computed, not measured: a relaxed YEr5Pd6 crystal at the PBE level of DFT.

Structure (POSCAR):
```
YEr5Pd6
1.0
4.778 0.020 -1.394
-0.938 6.000 -3.124
-0.098 0.553 8.556
Y Pd Er
1 6 5
direct
0.000 0.000 0.000
0.831 0.580 0.663
0.831 0.083 0.663
0.500 0.746 0.000
0.500 0.254 0.000
0.169 0.917 0.337
0.169 0.420 0.337
0.667 0.167 0.333
0.333 0.333 0.667
0.000 0.500 0.000
0.667 0.667 0.333
0.333 0.833 0.667
```

Properties
Calculated total energy = -71.41 eV per cell
Space group = No. 71
V = 21.134 Å³ per atom

***

# 3
Computed, not measured: a relaxed YEr2Pd crystal at the PBE level of DFT.

Structure (POSCAR):
```
YEr2Pd
1.0
-2.543 1.980 1.986
-0.718 -6.155 1.604
6.123 1.055 6.788
Y Er Pd
2 4 2
direct
0.940 0.880 0.250
0.060 0.120 0.750
0.364 0.728 0.560
0.636 0.272 0.440
0.364 0.728 0.940
0.636 0.272 0.060
0.762 0.524 0.750
0.238 0.476 0.250
```

Properties
Calculated total energy = -45.33 eV per cell
Space group = No. 63
V = 26.621 Å³ per atom

***

# 4
Computed, not measured: a relaxed YEr3Pd12 crystal at the PBE level of DFT.

Structure (POSCAR):
```
YEr3Pd12
1.0
-1.058 3.874 0.859
-3.953 -1.106 0.120
1.383 -3.195 16.118
Y Er Pd
1 3 12
direct
0.000 0.000 0.000
0.000 0.000 0.251
0.000 0.000 0.500
0.000 0.000 0.749
0.500 0.500 0.000
0.500 0.500 0.251
0.500 0.500 0.500
0.500 0.500 0.749
0.500 0.000 0.127
0.500 0.000 0.375
0.500 0.000 0.625
0.500 0.000 0.873
0.000 0.500 0.127
0.000 0.500 0.375
0.000 0.500 0.625
0.000 0.500 0.873
```

Properties
Calculated total energy = -96.65 eV per cell
Space group = No. 123
V = 17.377 Å³ per atom

***

no.,E_form (meV per atom)
1,-377
2,-915
3,-470
4,-886